# La4Pr3Tm2 (GGA-PBE, optimized geometry)
data_La4Pr3Tm2
_cell_length_a 5.2303
_cell_length_b 8.1750
_cell_length_c 8.2398
_cell_angle_alpha 107.47
_cell_angle_beta 108.50
_cell_angle_gamma 90.00
_symmetry_space_group_name_H-M 'P 1'
_symmetry_Int_Tables_number 1
loop_
_symmetry_equiv_pos_as_xyz
'x,y,z'
loop_
_atom_site_label
_atom_site_fract_x
_atom_site_fract_y
_atom_site_fract_z
Tm1 0.6685 0.9991 0.3371
Tm2 0.3315 0.0009 0.6629
Pr1 0.0000 0.0000 0.0000
Pr2 0.8873 0.3299 0.7747
Pr3 0.1127 0.6701 0.2253
La1 0.7769 0.6711 0.5538
La2 0.4450 0.6711 0.8900
La3 0.5550 0.3289 0.1100
La4 0.2231 0.3289 0.4462
# * Fermi-level density of states: 15.943 states/eV/cell
# * total DFT energy (no corrections): -42.78 eV/cell
# * symmetry: C2/m